(1)
# RbHgCl2F | the Alexandria database | PBE | optimized geometry
# E above lowest polymorph: 0 meV per atom
# E_form (uncorrected): -1.45 eV per atom
# Size of the total moment: 0.0 μB per formula unit
# Raw total energy: -28.1 eV/cell
# N(E_F): 0.0000 states/eV per atom
data_RbHgCl2F
_space_group_name_H-M_alt 'P 1 21/m 1'
_space_group_IT_number 11
_cell_length_a 7.3919
_cell_length_b 4.5234
_cell_length_c 8.7031
_cell_angle_alpha 90.00
_cell_angle_beta 104.74
_cell_angle_gamma 90.00
loop_
_space_group_symop_operation_xyz
'x,y,z'
'-x,-y,-z'
'-x,y+1/2,-z'
'x,-y+1/2,z'
loop_
_atom_site_label
_atom_site_type_symbol
_atom_site_fract_x
_atom_site_fract_y
_atom_site_fract_z
_atom_site_occupancy
Rb1 Rb 0.1336 0.2500 0.3304 1
Hg1 Hg 0.3828 0.2500 0.7958 1
Cl1 Cl 0.2962 0.7500 0.0449 1
Cl2 Cl 0.3866 0.7500 0.6152 1
F1 F 0.0844 0.2500 0.6982 1

---

(2)
# AcBi2Ir | the Alexandria database | PBE | optimized geometry
# E above lowest polymorph: 105 meV per atom
# Size of the total moment: 0.0 μB per formula unit
# Raw total energy: -62.1 eV/cell
# N(E_F): 0.9698 states/eV per atom
# Energy relative to the elements: 8.1 meV per atom
data_AcBi2Ir
_space_group_name_H-M_alt 'R -3 m'
_space_group_IT_number 166
_space_group_name_Hall '-R 3 2"'
_cell_length_a 5.7418
_cell_length_b 5.7418
_cell_length_c 11.9648
_cell_angle_alpha 90.00
_cell_angle_beta 90.00
_cell_angle_gamma 120.00
loop_
_atom_site_label
_atom_site_type_symbol
_atom_site_fract_x
_atom_site_fract_y
_atom_site_fract_z
_atom_site_occupancy
Ac1 Ac 0.0000 0.0000 0.0000 1
Bi1 Bi 0.0000 0.0000 0.2709 1
Ir1 Ir 0.0000 0.0000 0.5000 1

---

(3)
# SiAgPt2 | the Alexandria database | PBE | optimized geometry
# E_form (uncorrected): -0.37 eV per atom
# Size of the total moment: 0.0 μB per formula unit
# Raw total energy: -21.8 eV/cell
# N(E_F): 0.4732 states/eV per atom
data_SiAgPt2
_space_group_name_H-M_alt 'P 4/m m m'
_space_group_IT_number 123
_space_group_name_Hall '-P 4 2'
_cell_length_a 2.9124
_cell_length_b 2.9124
_cell_length_c 7.3040
_cell_angle_alpha 90.00
_cell_angle_beta 90.00
_cell_angle_gamma 90.00
loop_
_atom_site_label
_atom_site_type_symbol
_atom_site_fract_x
_atom_site_fract_y
_atom_site_fract_z
_atom_site_occupancy
Si1 Si 0.0000 0.0000 0.0000 1
Ag1 Ag 0.0000 0.0000 0.5000 1
Pt1 Pt 0.5000 0.5000 0.2009 1

---

(4)
# Pr3Ga4Sn2 | the Alexandria database | PBE | optimized geometry
# Size of the total moment: 0.0 μB per formula unit
# Raw total energy: -80.9 eV/cell
# N(E_F): 0.3099 states/eV per atom
# Energy relative to the elements: -665.3 meV per atom
data_Pr3Ga4Sn2
_space_group_name_H-M_alt 'C 1 2/m 1'
_space_group_IT_number 12
_cell_length_a 11.7613
_cell_length_b 4.4233
_cell_length_c 8.8602
_cell_angle_alpha 90.00
_cell_angle_beta 100.52
_cell_angle_gamma 90.00
loop_
_space_group_symop_operation_xyz
'x,y,z'
'-x,-y,-z'
'-x,y,-z'
'x,-y,z'
'x+1/2,y+1/2,z'
'-x+1/2,-y+1/2,-z'
'-x+1/2,y+1/2,-z'
'x+1/2,-y+1/2,z'
loop_
_atom_site_label
_atom_site_type_symbol
_atom_site_fract_x
_atom_site_fract_y
_atom_site_fract_z
_atom_site_occupancy
Pr1 Pr 0.0000 0.0000 0.0000 1
Pr2 Pr 0.1640 0.5000 0.6706 1
Ga1 Ga 0.0188 0.0000 0.3643 1
Ga2 Ga 0.2034 0.5000 0.0233 1
Sn1 Sn 0.1293 0.5000 0.2941 1

---

(5)
# YZrRe2 | the Alexandria database | PBE | optimized geometry
# E above lowest polymorph: 200 meV per atom
# Size of the total moment: 0.0 μB per formula unit
# Raw total energy: -156.4 eV/cell
# N(E_F): 0.9461 states/eV per atom
# Energy relative to the elements: 204.8 meV per atom
data_YZrRe2
_space_group_name_H-M_alt 'F -4 3 m'
_space_group_IT_number 216
_space_group_name_Hall 'F -4 2 3'
_cell_length_a 6.6612
_cell_length_b 6.6612
_cell_length_c 6.6612
_cell_angle_alpha 90.00
_cell_angle_beta 90.00
_cell_angle_gamma 90.00
loop_
_atom_site_label
_atom_site_type_symbol
_atom_site_fract_x
_atom_site_fract_y
_atom_site_fract_z
_atom_site_occupancy
Y1 Y 0.0000 0.0000 0.0000 1
Zr1 Zr 0.2500 0.2500 0.2500 1
Re1 Re 0.0000 0.0000 0.5000 1
Re2 Re 0.2500 0.2500 0.7500 1

---

(6)
# SmAsC | the Alexandria database | PBE | optimized geometry
# Size of the total moment: 0.0 μB per formula unit
# Raw total energy: -39.7 eV/cell
# N(E_F): 0.2786 states/eV per atom
# Energy relative to the elements: -413.4 meV per atom
data_SmAsC
_space_group_name_H-M_alt 'P -1'
_space_group_IT_number 2
_cell_length_a 4.2569
_cell_length_b 4.3484
_cell_length_c 6.7449
_cell_angle_alpha 91.11
_cell_angle_beta 98.83
_cell_angle_gamma 90.50
loop_
_space_group_symop_operation_xyz
'x,y,z'
'-x,-y,-z'
loop_
_atom_site_label
_atom_site_type_symbol
_atom_site_fract_x
_atom_site_fract_y
_atom_site_fract_z
_atom_site_occupancy
Sm1 Sm 0.1536 0.1819 0.2535 1
As1 As 0.3279 0.3052 0.7044 1
C1 C 0.3593 0.0013 0.9362 1

---

(7)
# LaBSe2N | the Alexandria database | PBE | optimized geometry
# E above lowest polymorph: 1558 meV per atom
# E_form (uncorrected): 1.14 eV per atom
# Size of the total moment: 2.2 μB per formula unit
# Raw total energy: -21.2 eV/cell
# N(E_F): 0.7952 states/eV per atom
data_LaBSe2N
_space_group_name_H-M_alt 'P 4/m m m'
_space_group_IT_number 123
_space_group_name_Hall '-P 4 2'
_cell_length_a 5.9578
_cell_length_b 5.9578
_cell_length_c 4.2763
_cell_angle_alpha 90.00
_cell_angle_beta 90.00
_cell_angle_gamma 90.00
loop_
_atom_site_label
_atom_site_type_symbol
_atom_site_fract_x
_atom_site_fract_y
_atom_site_fract_z
_atom_site_occupancy
La1 La 0.0000 0.0000 0.0000 1
B1 B 0.5000 0.5000 0.5000 1
Se1 Se 0.0000 0.5000 0.0000 1
N1 N 0.0000 0.0000 0.5000 1

---

(8)
# Y2C2S | the Alexandria database | PBE | optimized geometry
# E_form (uncorrected): -0.96 eV per atom
# Size of the total moment: 0.0 μB per formula unit
# Raw total energy: -161.3 eV/cell
# N(E_F): 0.2835 states/eV per atom
data_Y2C2S
_space_group_name_H-M_alt 'C 1 2/c 1'
_space_group_IT_number 15
_cell_length_a 13.8491
_cell_length_b 3.8593
_cell_length_c 6.7372
_cell_angle_alpha 90.00
_cell_angle_beta 105.13
_cell_angle_gamma 90.00
loop_
_space_group_symop_operation_xyz
'x,y,z'
'-x,-y,-z'
'-x,y,-z+1/2'
'x,-y,z+1/2'
'x+1/2,y+1/2,z'
'-x+1/2,-y+1/2,-z'
'-x+1/2,y+1/2,-z+1/2'
'x+1/2,-y+1/2,z+1/2'
loop_
_atom_site_label
_atom_site_type_symbol
_atom_site_fract_x
_atom_site_fract_y
_atom_site_fract_z
_atom_site_occupancy
Y1 Y 0.1340 0.2130 0.1562 1
C1 C 0.2184 0.3437 0.5361 1
S1 S 0.0000 0.2747 0.7500 1

---

(9)
# ThZn2Pb | the Alexandria database | PBE | optimized geometry
# E above lowest polymorph: 0 meV per atom
# Size of the total moment: 0.0 μB per formula unit
# Raw total energy: -14.4 eV/cell
# N(E_F): 0.6657 states/eV per atom
# Energy relative to the elements: -176.0 meV per atom
data_ThZn2Pb
_space_group_name_H-M_alt 'P 4/m m m'
_space_group_IT_number 123
_space_group_name_Hall '-P 4 2'
_cell_length_a 4.6189
_cell_length_b 4.6189
_cell_length_c 4.4706
_cell_angle_alpha 90.00
_cell_angle_beta 90.00
_cell_angle_gamma 90.00
loop_
_atom_site_label
_atom_site_type_symbol
_atom_site_fract_x
_atom_site_fract_y
_atom_site_fract_z
_atom_site_occupancy
Th1 Th 0.0000 0.0000 0.0000 1
Zn1 Zn 0.0000 0.5000 0.5000 1
Pb1 Pb 0.5000 0.5000 0.0000 1

---

(10)
# Dy5In2Sb2 | the Alexandria database | PBE | optimized geometry
# E above lowest polymorph: 242 meV per atom
# E_form (uncorrected): -0.51 eV per atom
# Size of the total moment: 0.0 μB per formula unit
# Raw total energy: -165.3 eV/cell
# N(E_F): 0.9056 states/eV per atom
data_Dy5In2Sb2
_space_group_name_H-M_alt 'I m a 2'
_space_group_IT_number 46
_cell_length_a 18.2135
_cell_length_b 6.4130
_cell_length_c 8.7585
_cell_angle_alpha 90.00
_cell_angle_beta 90.00
_cell_angle_gamma 90.00
loop_
_space_group_symop_operation_xyz
'x,y,z'
'-x,-y,z'
'-x+1/2,y,z'
'x+1/2,-y,z'
'x+1/2,y+1/2,z+1/2'
'-x+1/2,-y+1/2,z+1/2'
'-x,y+1/2,z+1/2'
'x,-y+1/2,z+1/2'
loop_
_atom_site_label
_atom_site_type_symbol
_atom_site_fract_x
_atom_site_fract_y
_atom_site_fract_z
_atom_site_occupancy
Dy1 Dy 0.0815 0.1465 0.0000 1
Dy2 Dy 0.1602 0.6119 0.1294 1
Dy3 Dy 0.2500 0.1029 0.2883 1
In1 In 0.0740 0.5838 0.8227 1
Sb1 Sb 0.0000 0.0000 0.7039 1
Sb2 Sb 0.2500 0.5594 0.4363 1